Entry from Alexandria via LeMat-Bulk: Sr8InRh2 after structural relaxation (PBE).

Properties
crystal system	monoclinic
calculated volume	411.4	Å³/cell
magnetic moment	0.00	μB per atom
energy of formation from the pure elements	-2.07	eV per formula unit
symmetry	No. 8
N(E_F)	0.838	states/eV per atom
electronic total energy	-32.96	eV/cell

```
11
Lattice="4.851 -7.112 0.000 4.851 7.112 0.000 -1.415 0.000 5.962" Properties=species:S:1:pos:R:3 pbc="T T T"
Sr 0.000 0.000 0.000
Sr 0.924 1.918 3.749
Sr 3.404 3.493 1.247
Sr 0.924 -1.918 3.749
Sr 4.467 1.920 4.706
Sr 3.404 -3.493 1.247
Sr 4.467 -1.920 4.706
Sr 6.803 0.000 2.491
In 3.405 0.000 1.237
Rh 2.695 4.477 4.227
Rh 2.695 -4.477 4.227
```